Record 1
The following is a PBE calculation of an optimized crystal structure of Ce2TmPuBi4, from the Alexandria database.

The structure belongs to space group P2/m (No. 10); the cell edges are 7.832, 4.554 and 7.894 Å and the angles 90.00°, 109.57° and 90.00°. The distinct sites, in fractional coordinates, are Ce at (0.000, 0.000, 0.000), Ce at (0.000, 0.500, 0.500), Tm at (0.500, 0.000, 0.500), Pu at (0.500, 0.500, 0.000), Bi at (0.254, 0.000, 0.748) and Bi at (0.257, 0.500, 0.256).

The value obtained for the final energy is -6.448 eV per atom. For the formation energy, the calculation gives -5.39 eV/f.u. The crystal system is monoclinic.



Record 2
The following is a PBE calculation of an optimized crystal structure of BeVTe, from the Alexandria database.

The structure belongs to space group P1 (No. 1); the cell edges are 3.897, 3.994 and 9.013 Å and the angles 102.25°, 90.29° and 118.81°. The distinct sites, in fractional coordinates, are Be at (0.000, 0.000, 0.000), Be at (0.395, 0.794, 0.169), V at (0.096, 0.195, 0.287), V at (0.717, 0.435, 0.146), Te at (0.620, 0.243, 0.852) and Te at (0.824, 0.654, 0.455).

Its energy above the most stable polymorph in this dataset is 106 meV per atom. The value obtained for the final energy is -5.389 eV per atom. The crystal system is triclinic.



Record 3
The following is a PBE calculation of an optimized crystal structure of RbTe2HI, from the Alexandria database.

The structure belongs to space group P4/mmm (No. 123); the cell edges are 7.284, 7.284 and 6.937 Å and the angles 90.00°, 90.00° and 90.00°. The distinct sites, in fractional coordinates, are Rb at (0.000, 0.000, 0.000), Te at (0.000, 0.500, 0.000), H at (0.500, 0.500, 0.500) and I at (0.000, 0.000, 0.500).

Its energy above the most stable polymorph in this dataset is 972 meV per atom. The value obtained for the final energy is -1.605 eV per atom. The crystal system is tetragonal.



Record 4
The following is a PBE calculation of an optimized crystal structure of CrP2RhCl, from the Alexandria database.

The structure belongs to space group P4/mmm (No. 123); the cell edges are 4.372, 4.372 and 4.664 Å and the angles 90.00°, 90.00° and 90.00°. The distinct sites, in fractional coordinates, are Cr at (0.000, 0.000, 0.000), P at (0.000, 0.500, 0.000), Rh at (0.500, 0.500, 0.500) and Cl at (0.000, 0.000, 0.500).

Its energy above the most stable polymorph in this dataset is 0 meV per atom. The value obtained for the final energy is -5.278 eV per atom. The crystal system is tetragonal.



Record 5
The following is a PBE calculation of an optimized crystal structure of Sn2BS4, from the Alexandria database.

The structure belongs to space group I4/mmm (No. 139); the cell edges are 4.129, 4.129 and 14.982 Å and the angles 90.00°, 90.00° and 90.00°. The distinct sites, in fractional coordinates, are Sn at (0.000, 0.000, 0.145), B at (0.000, 0.000, 0.500), S at (0.000, 0.000, 0.329) and S at (0.000, 0.500, 0.000).

The value obtained for the final energy is -4.348 eV per atom. The crystal system is tetragonal.



Record 6
The following is a PBE calculation of an optimized crystal structure of ScBeZn2, from the Alexandria database.

The structure belongs to space group C2/m (No. 12); the cell edges are 5.404, 9.392 and 2.681 Å and the angles 90.00°, 112.96° and 90.00°. The distinct sites, in fractional coordinates, are Sc at (0.000, 0.000, 0.000), Be at (0.000, 0.500, 0.000) and Zn at (0.250, 0.250, 0.500).

The value obtained for the final energy is -3.011 eV per atom. For the formation energy, the calculation gives 0.56 eV/f.u. The crystal system is monoclinic.



no.,theoretical density (g cm⁻³)
1,9.571
2,5.226
3,2.114
4,4.700
5,4.895
6,4.899